The following is a PBE calculation of a relaxed structure of CaAgCl6, from Alexandria.

Computed properties:
Raw formation energy: -0.846 eV/atom
Final energy: -22.704 eV/f.u.
Density: 2.7 g/cm3
Symmetry: No. 2

a b c (Å): 6.321 7.495 5.996
angles (deg): 68.55 68.08 57.90
Site moments in Bohr magnetons follow the coordinates.
Fractional positions:
Cl: 0.243 0.927 0.264  0.00
Cl: 0.600 0.217 0.229  0.00
Ag: 0.000 0.000 0.000  0.00
Cl: 0.034 0.482 0.726  0.09
Cl: 0.400 0.783 0.771  0.00
Ca: 0.500 0.500 0.500  0.00
Cl: 0.757 0.073 0.736  0.00
Cl: 0.966 0.518 0.274  0.09